Here is a relaxed structure of Cs2DyCl5 from Alexandria. Energies are from PBE.

Cell lengths 9.8131, 7.5745, 15.5006 Å; angles 90.00, 90.00, 90.00 degrees
Atoms (fractional coordinates):
Cs: 0.0278 0.2500 0.2122
Cs: 0.1642 0.7500 0.4149
Cs: 0.3358 0.2500 0.9149
Cs: 0.4722 0.7500 0.7122
Cs: 0.5278 0.2500 0.2878
Cs: 0.6642 0.7500 0.0851
Cs: 0.8358 0.2500 0.5851
Cs: 0.9722 0.7500 0.7878
Dy: 0.1788 0.7500 0.0631
Dy: 0.3212 0.2500 0.5631
Dy: 0.6788 0.7500 0.4369
Dy: 0.8212 0.2500 0.9369
Cl: 0.0000 0.0000 0.0000
Cl: 0.0000 0.5000 0.0000
Cl: 0.0238 0.7500 0.1998
Cl: 0.1655 0.5024 0.6155
Cl: 0.1655 0.9976 0.6155
Cl: 0.2180 0.2500 0.4049
Cl: 0.2820 0.7500 0.9049
Cl: 0.3345 0.0024 0.1155
Cl: 0.3345 0.4976 0.1155
Cl: 0.4762 0.2500 0.6998
Cl: 0.5000 0.0000 0.5000
Cl: 0.5000 0.5000 0.5000
Cl: 0.5238 0.7500 0.3002
Cl: 0.6655 0.5024 0.8845
Cl: 0.6655 0.9976 0.8845
Cl: 0.7180 0.2500 0.0951
Cl: 0.7820 0.7500 0.5951
Cl: 0.8345 0.0024 0.3845
Cl: 0.8345 0.4976 0.3845
Cl: 0.9762 0.2500 0.8002

## Properties
- Energy relative to the elements, uncorrected: -2205.5 meV per atom
- N(E_F): 0.00 states/eV/atom
- Symmetry: Pnma
- Crystal system: orthorhombic
- Total magnetic moment: 0.0 μB per formula unit